Entry from the Alexandria database: an optimized crystal structure of Sm3TlS6 (GGA-PBE).

Calculated values
The raw formation energy is -1.57 eV/atom. As for the symmetry: No. 36. The uncorrected energy comes out at -114.0 eV/cell.

Lattice parameters (Å, degrees): 6.766 8.762 8.762 102.77 90.00 90.00
Element x y z (fractional)
Sm: 0.483 0.911 0.715
Sm: 0.983 0.715 0.911
Sm: 0.394 0.405 0.595
Sm: 0.894 0.595 0.405
Sm: 0.983 0.089 0.285
Sm: 0.483 0.285 0.089
Tl: 0.003 0.201 0.799
Tl: 0.503 0.799 0.201
S: 0.187 0.692 0.632
S: 0.687 0.632 0.692
S: 0.217 0.445 0.903
S: 0.717 0.903 0.445
S: 0.181 0.030 0.970
S: 0.635 0.221 0.779
S: 0.135 0.779 0.221
S: 0.681 0.970 0.030
S: 0.217 0.097 0.555
S: 0.717 0.555 0.097
S: 0.187 0.368 0.308
S: 0.687 0.308 0.368